Entry 1:
Tm4ScIr5 after structural relaxation. Source: Alexandria via LeMat-Bulk, functional PBE.

Computed properties:
Its energy relative to the elements is -0.928 eV/atom. The space group is P4/mmm, No. 123. The value obtained for the total magnetization is 0.000 μB per atom.

Cell: 3.271 3.271 17.533 Å, 90.00 90.00 90.00°
Sites, in units of the cell vectors:
Tm1 0.000 0.000 0.195
Tm2 0.000 0.000 0.398
Tm3 0.000 0.000 0.602
Tm4 0.000 0.000 0.805
Sc1 0.000 0.000 0.000
Ir1 0.500 0.500 0.092
Ir2 0.500 0.500 0.296
Ir3 0.500 0.500 0.500
Ir4 0.500 0.500 0.704
Ir5 0.500 0.500 0.908

Entry 2:
InSbPS2 after structural relaxation. Source: Alexandria via LeMat-Bulk, functional PBE.

Computed properties:
The polymorph energy (0 for the lowest one) comes out at 0 meV per atom. The space group is P4/mmm, No. 123. The value obtained for the total magnetization is 0.000 μB per atom. The energy relative to the elements, uncorrected comes out at 0.4404 eV per atom.

Cell: 5.041 5.041 5.152 Å, 90.00 90.00 90.00°
Sites, in units of the cell vectors:
Sb1 0.000 0.000 0.000
S1 0.000 0.500 0.000
S2 0.500 0.000 0.000
P1 0.000 0.000 0.500
In1 0.500 0.500 0.500

Entry 3:
CdBr5 after structural relaxation. Source: Alexandria via LeMat-Bulk, functional PBE.

Computed properties:
The polymorph energy (0 for the lowest one) comes out at 359 meV per atom. The space group is P6/mmm, No. 191. The value obtained for the total magnetization is 0.000 μB per atom. The energy relative to the elements, uncorrected comes out at 0.0911 eV per atom.

Cell: 5.559 5.559 8.743 Å, 90.00 90.00 120.00°
Sites, in units of the cell vectors:
Cd1 0.000 0.000 0.000
Br1 0.333 0.667 0.000
Br2 0.667 0.333 0.000
Br3 0.500 0.000 0.500
Br4 0.000 0.500 0.500
Br5 0.500 0.500 0.500

Entry 4:
Tc2SbW after structural relaxation. Source: Alexandria via LeMat-Bulk, functional PBE.

Computed properties:
The space group is Pmmm, No. 47. The value obtained for the total magnetization is 0.000 μB per atom. The energy relative to the elements, uncorrected comes out at 0.3274 eV per atom.

Cell: 4.004 3.001 6.280 Å, 61.46 90.00 90.00°
Sites, in units of the cell vectors:
Sb1 0.500 0.750 0.750
Tc1 0.000 0.984 0.016
Tc2 0.000 0.516 0.484
W1 0.500 0.250 0.250

Entry 5:
La6Pm2PrTm after structural relaxation. Source: Alexandria via LeMat-Bulk, functional PBE.

Computed properties:
Its energy relative to the elements is 0.177 eV/atom. The space group is C2/m, No. 12. The value obtained for the total magnetization is 0.000 μB per atom.

Cell: 9.173 7.139 6.783 Å, 121.75 104.23 90.00°
Sites, in units of the cell vectors:
La1 0.422 0.627 0.255
La2 0.205 0.044 0.624
La3 0.795 0.420 0.376
La4 0.205 0.580 0.624
La5 0.795 0.956 0.376
La6 0.578 0.373 0.745
Pm1 0.173 0.081 0.161
Pm2 0.827 0.919 0.839
Pr1 0.000 0.500 0.000
Tm1 0.500 0.000 0.000

Entry 6:
PmIn2Bi after structural relaxation. Source: Alexandria via LeMat-Bulk, functional PBE.

Computed properties:
The polymorph energy (0 for the lowest one) comes out at 188 meV per atom. Its energy relative to the elements is -0.252 eV/atom. The space group is P4/mmm, No. 123. The value obtained for the total magnetization is 0.000 μB per atom.

Cell: 4.056 4.056 6.939 Å, 90.00 90.00 90.00°
Sites, in units of the cell vectors:
In1 0.000 0.000 0.766
In2 0.000 0.000 0.234
Bi1 0.500 0.500 0.000
Pm1 0.500 0.500 0.500

Entry 7:
Sr2TlRh after structural relaxation. Source: Alexandria via LeMat-Bulk, functional PBE.

Computed properties:
The polymorph energy (0 for the lowest one) comes out at 144 meV per atom. Its energy relative to the elements is -0.148 eV/atom. The space group is Cmmm, No. 65. The value obtained for the total magnetization is 0.000 μB per atom.

Cell: 8.506 5.273 4.102 Å, 90.03 61.13 128.23°
Sites, in units of the cell vectors:
Rh1 0.500 0.500 0.000
Sr1 0.000 0.000 0.000
Sr2 0.500 0.000 0.500
Tl1 0.000 0.500 0.500

Entry 8:
BaSbOs3 after structural relaxation. Source: Alexandria via LeMat-Bulk, functional PBE.

Computed properties:
The polymorph energy (0 for the lowest one) comes out at 0 meV per atom. The space group is Pm-3m, No. 221. The value obtained for the total magnetization is 0.152 μB per atom. The energy relative to the elements, uncorrected comes out at 1.7231 eV per atom.

Cell: 4.980 4.980 4.980 Å, 90.00 90.00 90.00°
Sites, in units of the cell vectors:
Sb1 0.000 0.000 0.000
Os1 0.000 0.500 0.000
Os2 0.000 0.000 0.500
Os3 0.500 0.000 0.000
Ba1 0.500 0.500 0.500

Entry 9:
SnPb2S5 after structural relaxation. Source: Alexandria via LeMat-Bulk, functional PBE.

Computed properties:
The space group is Cmcm, No. 63. The value obtained for the total magnetization is 0.000 μB per atom. The energy relative to the elements, uncorrected comes out at -0.2347 eV per atom.

Cell: 5.657 7.851 12.010 Å, 90.00 90.00 111.12°
Sites, in units of the cell vectors:
Sn1 0.792 0.584 0.750
Sn2 0.208 0.416 0.250
Pb1 0.849 0.699 0.435
Pb2 0.849 0.699 0.065
Pb3 0.151 0.301 0.565
Pb4 0.151 0.301 0.935
S1 0.950 0.901 0.841
S2 0.950 0.901 0.659
S3 0.305 0.611 0.417
S4 0.305 0.611 0.083
S5 0.734 0.468 0.250
S6 0.266 0.532 0.750
S7 0.695 0.389 0.583
S8 0.695 0.389 0.917
S9 0.050 0.099 0.159
S10 0.050 0.099 0.341

Entry 10:
SrCuS2N after structural relaxation. Source: Alexandria via LeMat-Bulk, functional PBE.

Computed properties:
The polymorph energy (0 for the lowest one) comes out at 1456 meV per atom. The space group is P4/mmm, No. 123. The value obtained for the total magnetization is 0.246 μB per atom. The energy relative to the elements, uncorrected comes out at 1.3549 eV per atom.

Cell: 5.552 5.552 4.488 Å, 90.00 90.00 90.00°
Sites, in units of the cell vectors:
Sr1 0.000 0.000 0.000
S1 0.000 0.500 0.000
S2 0.500 0.000 0.000
Cu1 0.500 0.500 0.500
N1 0.000 0.000 0.500

Entry 11:
Ba2TaTiSe6 after structural relaxation. Source: Alexandria via LeMat-Bulk, functional PBE.

Computed properties:
The space group is R-3m, No. 166. The value obtained for the total magnetization is 0.000 μB per atom. The energy relative to the elements, uncorrected comes out at -1.3676 eV per atom.

Cell: 7.204 7.204 12.742 Å, 73.58 73.58 60.00°
Sites, in units of the cell vectors:
Ba1 0.881 0.881 0.356
Ba2 0.119 0.119 0.644
Ba3 0.702 0.702 0.893
Ba4 0.298 0.298 0.107
Ta1 0.000 0.000 0.000
Ta2 0.500 0.500 0.500
Ti1 0.578 0.578 0.266
Ti2 0.422 0.422 0.734
Se1 0.884 0.371 0.374
Se2 0.371 0.884 0.374
Se3 0.371 0.371 0.374
Se4 0.116 0.629 0.626
Se5 0.629 0.116 0.626
Se6 0.629 0.629 0.626
Se7 0.705 0.209 0.876
Se8 0.209 0.705 0.876
Se9 0.209 0.209 0.876
Se10 0.295 0.791 0.124
Se11 0.791 0.295 0.124
Se12 0.791 0.791 0.124

Entry 12:
Mg8PdPb2 after structural relaxation. Source: Alexandria via LeMat-Bulk, functional PBE.

Computed properties:
The polymorph energy (0 for the lowest one) comes out at 12 meV per atom. Its energy relative to the elements is -0.156 eV/atom. The space group is C2/m, No. 12. The value obtained for the total magnetization is 0.000 μB per atom.

Cell: 4.974 5.373 9.876 Å, 100.00 104.59 90.00°
Sites, in units of the cell vectors:
Mg1 0.573 0.601 0.145
Mg2 0.353 0.856 0.706
Mg3 0.249 0.319 0.498
Mg4 0.042 0.249 0.083
Mg5 0.751 0.681 0.502
Mg6 0.647 0.144 0.294
Mg7 0.427 0.399 0.855
Mg8 0.958 0.751 0.917
Pd1 0.500 0.000 0.000
Pb1 0.160 0.773 0.321
Pb2 0.840 0.227 0.679

Which value of total magnetization does entry 12 give?
0.000 μB per atom